1.
DFT (PBE-GGA) results for a geometry-optimized Ni3HPd structure.

extended XYZ file:
```
5
Lattice="3.691 0.000 0.000 0.000 3.691 0.000 0.000 0.000 3.691" Properties=species:S:1:pos:R:3 pbc="T T T"
Ni 0.000 0.000 1.846
Ni 0.000 1.846 0.000
Ni 1.846 0.000 0.000
H 0.000 0.000 0.000
Pd 1.846 1.846 1.846
```

density: 9.4 g/cm³
magnetization: 1.66 μB/cell
uncorrected energy: -25.787 eV/f.u.
D(E_F): 8.5 states/eV/cell
SG: Pm-3m, No. 221
relative energy among the computed polymorphs: 0 meV/atom



2.
DFT (PBE-GGA) results for a geometry-optimized NiH2Pd structure.

extended XYZ file:
```
4
Lattice="2.891 0.000 0.000 -1.446 2.504 0.000 0.000 0.000 4.633" Properties=species:S:1:pos:R:3 pbc="T T T"
Ni 0.000 0.000 0.000
H 0.000 0.000 1.644
H 1.446 0.835 4.309
Pd 1.446 0.835 2.388
```

density: 8.3 g/cm³
magnetization: 0.00 μB/cell
uncorrected energy: -17.740 eV/f.u.
D(E_F): 1.8 states/eV/cell
SG: P3m1, No. 156
relative energy among the computed polymorphs: 29 meV/atom



3.
DFT (PBE-GGA) results for a geometry-optimized NiH6Pd8 structure.

extended XYZ file:
```
15
Lattice="4.961 0.000 0.000 -2.467 4.316 0.000 -2.453 -1.425 6.953" Properties=species:S:1:pos:R:3 pbc="T T T"
Ni 0.000 0.000 0.000
H -1.743 3.044 1.187
H -3.466 2.864 5.757
H 0.762 1.264 1.180
H -0.721 1.627 5.773
H 3.507 0.027 1.196
H 1.784 -0.153 5.767
Pd -1.641 -0.007 4.635
Pd -0.805 1.427 2.322
Pd -2.444 1.454 6.951
Pd -1.603 2.886 4.631
Pd 1.645 0.005 2.323
Pd 2.486 1.437 0.003
Pd 0.846 1.464 4.632
Pd 1.682 2.898 2.319
```

density: 10.2 g/cm³
magnetization: 0.00 μB/cell
uncorrected energy: -68.275 eV/f.u.
D(E_F): 10.1 states/eV/cell
SG: P-1, No. 2



4.
DFT (PBE-GGA) results for a geometry-optimized Ni2H7Pd2 structure.

extended XYZ file:
```
22
Lattice="0.000 4.243 4.243 4.243 0.000 4.243 4.243 4.243 0.000" Properties=species:S:1:pos:R:3 pbc="T T T"
Ni 0.000 0.000 0.000
Ni 2.122 2.122 0.000
Ni 2.122 0.000 2.122
Ni 0.000 2.122 2.122
H 3.183 3.183 0.753
H 3.183 0.753 3.183
H 5.613 3.183 3.183
H 5.304 5.304 2.874
H 5.304 2.874 5.304
H 7.734 5.304 5.304
H 3.183 3.183 3.183
H 5.304 5.304 5.304
H 0.753 3.183 3.183
H 3.183 5.613 3.183
H 3.183 3.183 5.613
H 2.874 5.304 5.304
H 5.304 7.734 5.304
H 5.304 5.304 7.734
Pd 4.243 2.122 2.122
Pd 2.122 4.243 2.122
Pd 2.122 2.122 4.243
Pd 4.243 4.243 4.243
```

density: 7.3 g/cm³
magnetization: 0.00 μB/cell
uncorrected energy: -45.104 eV/f.u.
D(E_F): 8.9 states/eV/cell
SG: Fd-3m, No. 227



5.
DFT (PBE-GGA) results for a geometry-optimized NiH2Pd structure.

extended XYZ file:
```
8
Lattice="-2.009 2.009 4.120 2.009 -2.009 4.120 2.009 2.009 -4.120" Properties=species:S:1:pos:R:3 pbc="T T T"
Ni 0.000 0.000 0.000
Ni 0.000 2.009 2.060
H 3.013 0.848 -1.030
H 0.848 1.004 1.030
H -1.004 1.161 3.090
H 1.161 1.004 5.150
Pd 2.009 0.000 2.060
Pd 0.000 0.000 4.120
```

density: 8.3 g/cm³
magnetization: 0.00 μB/cell
uncorrected energy: -17.857 eV/f.u.
D(E_F): 2.7 states/eV/cell
SG: I-42d, No. 122
relative energy among the computed polymorphs: 0 meV/atom



6.
DFT (PBE-GGA) results for a geometry-optimized Ni5H2Pd2 structure.

extended XYZ file:
```
9
Lattice="4.216 -1.830 0.000 4.216 1.830 0.000 -0.735 0.000 5.842" Properties=species:S:1:pos:R:3 pbc="T T T"
Ni 0.000 0.000 0.000
Ni 0.918 0.000 2.503
Ni 1.791 0.000 4.991
Ni 5.906 0.000 0.851
Ni 6.779 0.000 3.339
H 1.583 0.000 0.778
H 6.114 0.000 5.064
Pd 3.415 0.000 1.664
Pd 4.282 0.000 4.178
```

density: 9.4 g/cm³
magnetization: 2.71 μB/cell
uncorrected energy: -45.778 eV/f.u.
D(E_F): 14.5 states/eV/cell
SG: C2/m, No. 12